# 1
{"formula": "TmTh3Rh12", "functional": "PBE-GGA", "state": "relaxed", "cell": [[-1.9965, 2.1197, -2.8910], [-3.1909, 0.4572, 2.5389], [6.5374, 13.9393, 5.7059]], "species": ["Rh", "Rh", "Rh", "Rh", "Rh", "Rh", "Rh", "Rh", "Rh", "Rh", "Rh", "Rh", "Th", "Th", "Th", "Tm"], "fractional_positions": [[0.0000, 0.5000, 0.8804], [0.0000, 0.5000, 0.1196], [0.5000, 0.0000, 0.1196], [0.5000, 0.5000, 0.7533], [0.5000, 0.0000, 0.6268], [0.5000, 0.5000, 0.2467], [0.0000, 0.5000, 0.6268], [0.5000, 0.5000, 0.5000], [0.0000, 0.5000, 0.3732], [0.5000, 0.0000, 0.3732], [0.5000, 0.0000, 0.8804], [0.5000, 0.5000, 0.0000], [0.0000, 0.0000, 0.5000], [0.0000, 0.0000, 0.7541], [0.0000, 0.0000, 0.2459], [0.0000, 0.0000, 0.0000]], "sg": "No. 123", "delta_e_f_kj_per_mol_atoms": -65.5, "rho_g_cm3": 12.61, "dos_at_fermi_per_ev_cell": 14.96}

***

# 2
{"formula": "Ca2Tc2P2C", "functional": "PBE-GGA", "state": "relaxed", "cell": [[-0.3035, 3.3669, 1.8957], [-2.4095, -1.0048, 5.3610], [4.3718, 0.0645, 4.5477]], "species": ["Tc", "Tc", "C", "Ca", "Ca", "P", "P"], "fractional_positions": [[0.1905, 0.6936, 0.9255], [0.8095, 0.3064, 0.0745], [0.0000, 0.0000, 0.0000], [0.5661, 0.1827, 0.6851], [0.4339, 0.8173, 0.3149], [0.8194, 0.6404, 0.7208], [0.1806, 0.3596, 0.2792]], "sg": "No. 12", "delta_e_f_kj_per_mol_atoms": -67.7, "rho_g_cm3": 4.64, "dos_at_fermi_per_ev_cell": 2.33}

***

# 3
{"formula": "Tb5Nd6Tl", "functional": "PBE-GGA", "state": "relaxed", "cell": [[-2.6187, 2.5289, -3.5145], [-1.9446, -9.2096, -1.5397], [-3.9612, 2.4208, 8.3317]], "species": ["Nd", "Nd", "Nd", "Nd", "Nd", "Nd", "Tb", "Tb", "Tb", "Tb", "Tb", "Tl"], "fractional_positions": [[0.2454, 0.4105, 0.0801], [0.7445, 0.2445, 0.2445], [0.2555, 0.7555, 0.7555], [0.7546, 0.5895, 0.9199], [0.2454, 0.0801, 0.4105], [0.7546, 0.9199, 0.5895], [0.0000, 0.6637, 0.3363], [0.5000, 0.1694, 0.8306], [0.5000, 0.5000, 0.5000], [0.5000, 0.8306, 0.1694], [0.0000, 0.3363, 0.6637], [0.0000, 0.0000, 0.0000]], "sg": "No. 71", "delta_e_f_kj_per_mol_atoms": -3.4, "rho_g_cm3": 7.89, "dos_at_fermi_per_ev_cell": 15.74}

***

Repeat the third record exactly.
{"formula": "Tb5Nd6Tl", "functional": "PBE-GGA", "state": "relaxed", "cell": [[-2.6187, 2.5289, -3.5145], [-1.9446, -9.2096, -1.5397], [-3.9612, 2.4208, 8.3317]], "species": ["Nd", "Nd", "Nd", "Nd", "Nd", "Nd", "Tb", "Tb", "Tb", "Tb", "Tb", "Tl"], "fractional_positions": [[0.2454, 0.4105, 0.0801], [0.7445, 0.2445, 0.2445], [0.2555, 0.7555, 0.7555], [0.7546, 0.5895, 0.9199], [0.2454, 0.0801, 0.4105], [0.7546, 0.9199, 0.5895], [0.0000, 0.6637, 0.3363], [0.5000, 0.1694, 0.8306], [0.5000, 0.5000, 0.5000], [0.5000, 0.8306, 0.1694], [0.0000, 0.3363, 0.6637], [0.0000, 0.0000, 0.0000]], "sg": "No. 71", "delta_e_f_kj_per_mol_atoms": -3.4, "rho_g_cm3": 7.89, "dos_at_fermi_per_ev_cell": 15.74}

***

What did the first record say?
{"formula": "TmTh3Rh12", "functional": "PBE-GGA", "state": "relaxed", "cell": [[-1.9965, 2.1197, -2.8910], [-3.1909, 0.4572, 2.5389], [6.5374, 13.9393, 5.7059]], "species": ["Rh", "Rh", "Rh", "Rh", "Rh", "Rh", "Rh", "Rh", "Rh", "Rh", "Rh", "Rh", "Th", "Th", "Th", "Tm"], "fractional_positions": [[0.0000, 0.5000, 0.8804], [0.0000, 0.5000, 0.1196], [0.5000, 0.0000, 0.1196], [0.5000, 0.5000, 0.7533], [0.5000, 0.0000, 0.6268], [0.5000, 0.5000, 0.2467], [0.0000, 0.5000, 0.6268], [0.5000, 0.5000, 0.5000], [0.0000, 0.5000, 0.3732], [0.5000, 0.0000, 0.3732], [0.5000, 0.0000, 0.8804], [0.5000, 0.5000, 0.0000], [0.0000, 0.0000, 0.5000], [0.0000, 0.0000, 0.7541], [0.0000, 0.0000, 0.2459], [0.0000, 0.0000, 0.0000]], "sg": "No. 123", "delta_e_f_kj_per_mol_atoms": -65.5, "rho_g_cm3": 12.61, "dos_at_fermi_per_ev_cell": 14.96}